(1)
Hf2TeAs2 | PBE-GGA | optimized geometry

a b c (Å): 3.927 3.927 13.972
angles (deg): 90.00 90.00 90.00
Sites, in units of the cell vectors:
Hf: 0.000 0.000 0.113
Hf: 0.000 0.000 0.887
Hf: 0.500 0.500 0.387
Hf: 0.500 0.500 0.613
Te: 0.000 0.000 0.500
Te: 0.500 0.500 0.000
As: 0.000 0.500 0.250
As: 0.000 0.500 0.750
As: 0.500 0.000 0.250
As: 0.500 0.000 0.750

Computed properties:
formation energy (no corrections): -2.35 eV per formula unit
energy relative to the lowest polymorph listed for this composition: 277 meV per atom

***

(2)
CsBaS2Br | PBE-GGA | optimized geometry

a b c (Å): 5.505 5.505 7.281
angles (deg): 90.00 90.00 90.00
Sites, in units of the cell vectors:
Cs: 0.000 0.000 0.000
Ba: 0.000 0.000 0.500
S: 0.000 0.500 0.000
S: 0.500 0.000 0.000
Br: 0.500 0.500 0.500

Computed properties:
formation energy (no corrections): -0.22 eV per formula unit

***

(3)
CaZnSbH | PBE-GGA | optimized geometry

a b c (Å): 4.537 6.447 6.639
angles (deg): 90.00 90.00 90.00
Sites, in units of the cell vectors:
Ca: 0.000 0.000 0.000
Ca: 0.000 0.500 0.500
Zn: 0.500 0.000 0.332
Zn: 0.500 0.500 0.832
Sb: 0.000 0.000 0.521
Sb: 0.000 0.500 0.021
H: 0.500 0.000 0.078
H: 0.500 0.500 0.578

Computed properties:
energy relative to the lowest polymorph listed for this composition: 100 meV per atom

***

(4)
RbErGa2I6 | PBE-GGA | optimized geometry

a b c (Å): 8.293 8.300 8.970
angles (deg): 62.48 62.49 60.03
Sites, in units of the cell vectors:
Rb: 0.000 0.000 0.000
Er: 0.511 0.511 0.465
Ga: 0.187 0.186 0.440
Ga: 0.695 0.695 0.914
I: 0.135 0.747 0.677
I: 0.335 0.549 0.212
I: 0.441 0.135 0.677
I: 0.549 0.903 0.212
I: 0.748 0.441 0.677
I: 0.903 0.335 0.212

Computed properties:
formation energy (no corrections): -9.83 eV per formula unit

***

(5)
CaLaAu | PBE-GGA | optimized geometry

a b c (Å): 7.299 7.299 7.299
angles (deg): 90.00 90.00 90.00
Sites, in units of the cell vectors:
Ca: 0.000 0.000 0.000
Ca: 0.000 0.500 0.500
Ca: 0.500 0.000 0.500
Ca: 0.500 0.500 0.000
La: 0.000 0.000 0.500
La: 0.000 0.500 0.000
La: 0.500 0.000 0.000
La: 0.500 0.500 0.500
Au: 0.250 0.250 0.750
Au: 0.250 0.750 0.250
Au: 0.750 0.250 0.250
Au: 0.750 0.750 0.750

Computed properties:
ΔE_f: -1.47 eV per formula unit
energy relative to the lowest polymorph listed for this composition: 21 meV per atom

***

(6)
Sr3Li4Ca | PBE-GGA | optimized geometry

a b c (Å): 4.166 4.166 16.717
angles (deg): 90.00 90.00 90.00
Sites, in units of the cell vectors:
Sr: 0.000 0.000 0.000
Sr: 0.000 0.000 0.257
Sr: 0.000 0.000 0.743
Li: 0.500 0.500 0.128
Li: 0.500 0.500 0.390
Li: 0.500 0.500 0.610
Li: 0.500 0.500 0.872
Ca: 0.000 0.000 0.500

Computed properties:
ΔE_f: 0.21 eV per formula unit

***

(7)
ReAsRu | PBE-GGA | optimized geometry

a b c (Å): 2.889 3.982 7.746
angles (deg): 90.00 90.00 90.00
Sites, in units of the cell vectors:
Re: 0.000 0.000 0.000
Re: 0.500 0.500 0.500
As: 0.000 0.000 0.325
As: 0.500 0.500 0.825
Ru: 0.000 0.000 0.650
Ru: 0.500 0.500 0.150

Computed properties:
ΔE_f: 0.90 eV per formula unit
energy relative to the lowest polymorph listed for this composition: 164 meV per atom

***

(8)
BePtSe | PBE-GGA | optimized geometry

a b c (Å): 2.895 2.895 6.518
angles (deg): 90.00 90.00 120.00
Sites, in units of the cell vectors:
Be: 0.000 0.000 0.000
Pt: 0.667 0.333 0.246
Se: 0.333 0.667 0.726

Computed properties:
formation energy (no corrections): -0.24 eV per formula unit

***

no.,raw total energy (eV for the cell shown)
1,-69.40
2,-12.92
3,-24.93
4,-30.72
5,-46.71
6,-14.49
7,-50.95
8,-13.49